[1]
{
  "formula": "LiLa2PmSe4",
  "functional": "PBE",
  "state": "optimized geometry",
  "lattice_angstrom": [[-2.039, 1.738, 3.290], [-5.464, -4.667, -0.921], [1.229, -6.081, 3.975]],
  "species": ["Li", "La", "La", "Pm", "Se", "Se", "Se", "Se"],
  "fractional_positions": [[0.500, 0.500, 0.000], [0.000, 0.000, 0.000], [0.500, 0.000, 0.500], [0.000, 0.500, 0.500], [0.000, 0.736, 0.759], [0.000, 0.264, 0.241], [0.500, 0.738, 0.247], [0.500, 0.262, 0.753]],
  "dos_ef_per_ev_cell": 2.94,
  "e_tot_ev_per_atom": -5.64,
  "formation_energy_uncorrected_ev_per_atom": -1.83
}



[2]
{
  "formula": "Sm4InGa",
  "functional": "PBE",
  "state": "optimized geometry",
  "lattice_angstrom": [[5.140, 0.000, -0.001], [0.000, 5.141, -0.002], [0.004, 0.006, 7.388]],
  "species": ["Sm", "Sm", "Sm", "Sm", "In", "Ga"],
  "fractional_positions": [[0.501, 0.997, 0.261], [0.501, 0.998, 0.735], [0.001, 0.497, 0.735], [0.001, 0.497, 0.261], [0.501, 0.497, 0.998], [0.001, 0.997, 0.498]],
  "formation_enthalpy_0k_ev_per_atom": -0.166,
  "dos_ef_per_ev_cell": 9.78,
  "e_tot_ev_per_atom": -4.27
}



[3]
{
  "formula": "PmDyIrPb",
  "functional": "PBE",
  "state": "optimized geometry",
  "lattice_angstrom": [[5.202, 0.000, 0.000], [2.601, 4.505, 0.000], [2.601, 1.502, 4.247]],
  "species": ["Pb", "Ir", "Pm", "Dy"],
  "fractional_positions": [[0.000, 0.000, 0.000], [0.500, 0.500, 0.500], [0.250, 0.250, 0.250], [0.750, 0.750, 0.750]],
  "formation_enthalpy_0k_ev_per_atom": -0.434,
  "dos_ef_per_ev_cell": 3.54,
  "e_tot_ev_per_atom": -5.91
}



[4]
{
  "formula": "AgSbAu",
  "functional": "PBE",
  "state": "optimized geometry",
  "lattice_angstrom": [[-2.283, -3.902, 0.994], [1.778, -4.096, -1.218], [1.629, -2.873, 3.244]],
  "species": ["Sb", "Au", "Ag"],
  "fractional_positions": [[0.000, 0.000, 0.000], [0.750, 0.750, 0.750], [0.500, 0.500, 0.500]],
  "dos_ef_per_ev_cell": 1.92,
  "e_tot_ev_per_atom": -3.44,
  "formation_energy_uncorrected_ev_per_atom": -0.02
}



[5]
{
  "formula": "LaNbCo2",
  "functional": "PBE",
  "state": "optimized geometry",
  "lattice_angstrom": [[7.027, 0.000, 0.000], [0.000, 7.027, 0.000], [3.514, 3.514, 3.035]],
  "species": ["Nb", "Nb", "Co", "Co", "Co", "Co", "La", "La"],
  "fractional_positions": [[0.500, 0.500, 0.000], [0.250, 0.750, 0.500], [0.586, 0.125, 0.250], [0.164, 0.625, 0.250], [0.375, 0.414, 0.750], [0.875, 0.836, 0.750], [0.000, 0.000, 0.000], [0.750, 0.250, 0.500]],
  "formation_enthalpy_0k_ev_per_atom": 0.402,
  "dos_ef_per_ev_cell": 10.15,
  "e_tot_ev_per_atom": -6.90
}



[6]
{
  "formula": "Dy2NiPd",
  "functional": "PBE",
  "state": "optimized geometry",
  "lattice_angstrom": [[3.429, 0.000, 0.000], [0.000, 3.429, 0.000], [0.000, 0.000, 6.959]],
  "species": ["Ni", "Pd", "Dy", "Dy"],
  "fractional_positions": [[0.500, 0.500, 0.000], [0.500, 0.500, 0.500], [0.000, 0.000, 0.761], [0.000, 0.000, 0.239]],
  "formation_enthalpy_0k_ev_per_atom": -0.628,
  "dos_ef_per_ev_cell": 4.13,
  "e_tot_ev_per_atom": -5.67
}



| no. | volume (Å³/f.u.) |
| --- | --- |
| 1 | 213 |
| 2 | 195 |
| 3 | 100 |
| 4 | 70 |
| 5 | 75 |
| 6 | 82 |